ReO2 | PBE-GGA | relaxed

Calculated values
Calculated total energy: -25.1 eV per cell
Total moment: 0.0 μB per cell
Space-group type: R3m

Cell and atoms, written as POSCAR:
```
ReO2
1.0
1.3817 0.7977 5.0859
-1.3817 0.7977 5.0859
0.0000 -1.5954 5.0859
Re O
1 2
Cartesian
0.0000 0.0000 15.2463 Re
0.0000 0.0000 11.4850 O
0.0000 0.0000 8.8389 O
```

---

ReO2 | PBE-GGA | relaxed

Calculated values
Calculated total energy: -52.5 eV per cell
Total moment: 0.0 μB per cell
Space-group type: P4_2/mnm

Cell and atoms, written as POSCAR:
```
ReO2
1.0
-1.3520 3.0704 3.5566
-4.6888 -0.6436 -1.2269
-0.1691 -2.0976 1.7466
Re O
2 4
Cartesian
0.0000 0.0000 0.0000 Re
-3.1050 0.1646 2.0381 Re
-4.3350 1.7415 1.6718 O
-2.1627 1.2134 3.3889 O
-1.7059 0.6853 0.6579 O
-4.0473 -0.8842 0.6873 O
```

---

Re2O | PBE-GGA | relaxed

Calculated values
Calculated total energy: -25.8 eV per cell
Total moment: 0.0 μB per cell
Space-group type: Fm-3m
E above lowest polymorph: 0 meV per atom

Cell and atoms, written as POSCAR:
```
Re2O
1.0
0.0000 2.7114 2.7114
2.7114 0.0000 2.7114
2.7114 2.7114 0.0000
Re O
2 1
Cartesian
4.0671 4.0671 4.0671 Re
1.3557 1.3557 1.3557 Re
0.0000 0.0000 0.0000 O
```

---

ReO2 | PBE-GGA | relaxed

Calculated values
Calculated total energy: -105.5 eV per cell
Total moment: 0.0 μB per cell
Space-group type: P2_1/c

Cell and atoms, written as POSCAR:
```
ReO2
1.0
5.5379 0.0000 0.0000
0.0000 4.8435 0.0000
-2.8120 0.0000 4.8646
O Re
8 4
Cartesian
3.1933 1.0766 3.0193 O
4.5993 1.3452 0.5870 O
-0.4674 3.7670 1.8454 O
-1.8734 3.4984 4.2777 O
0.7867 3.8753 4.4425 O
1.9392 0.9683 0.4222 O
0.5332 1.4535 2.8545 O
2.1927 3.3900 2.0102 O
3.4538 4.8195 1.3690 Re
0.6781 2.3978 1.0633 Re
2.0478 2.4458 3.8014 Re
-0.7279 0.0240 3.4956 Re
```